{
  "formula": "Ce3PuSb4",
  "functional": "PBE",
  "state": "relaxed",
  "lattice": [[4.478, -6.340, 0.000], [4.478, 6.340, 0.000], [0.000, 0.000, 4.485]],
  "species": ["Ce", "Ce", "Ce", "Pu", "Sb", "Sb", "Sb", "Sb"],
  "frac_coords": [[0.000, 0.000, 0.000], [0.000, 0.500, 0.500], [0.500, 0.000, 0.500], [0.500, 0.500, 0.000], [0.251, 0.749, 0.000], [0.252, 0.252, 0.500], [0.748, 0.748, 0.500], [0.749, 0.251, 0.000]],
  "dos_at_fermi_per_ev_atom": 4.498,
  "crystal_system": "orthorhombic",
  "raw_formation_energy_mev_per_atom": -923
}



{
  "formula": "CePuSb2",
  "functional": "PBE",
  "state": "relaxed",
  "lattice": [[2.202, 1.272, 7.626], [-2.202, 1.272, 7.626], [0.000, -2.543, 7.626]],
  "species": ["Ce", "Pu", "Sb", "Sb"],
  "frac_coords": [[0.000, 0.000, 0.000], [0.830, 0.830, 0.830], [0.246, 0.246, 0.246], [0.417, 0.417, 0.417]],
  "dos_at_fermi_per_ev_atom": 4.413,
  "crystal_system": "trigonal",
  "raw_formation_energy_mev_per_atom": -721
}



{
  "formula": "Ce2PuSb",
  "functional": "PBE",
  "state": "relaxed",
  "lattice": [[4.027, 0.000, 0.000], [0.000, 4.027, 0.000], [0.000, 0.000, 6.760]],
  "species": ["Ce", "Ce", "Pu", "Sb"],
  "frac_coords": [[0.000, 0.000, 0.242], [0.000, 0.000, 0.758], [0.500, 0.500, 0.500], [0.500, 0.500, 0.000]],
  "dos_at_fermi_per_ev_atom": 3.082,
  "crystal_system": "tetragonal",
  "raw_formation_energy_mev_per_atom": -412
}



{
  "formula": "CePuSb2",
  "functional": "PBE",
  "state": "relaxed",
  "lattice": [[5.757, 0.000, 0.000], [0.000, 5.757, 0.000], [0.000, 0.000, 3.294]],
  "species": ["Ce", "Pu", "Sb", "Sb"],
  "frac_coords": [[0.000, 0.000, 0.000], [0.500, 0.500, 0.000], [0.000, 0.500, 0.500], [0.500, 0.000, 0.500]],
  "dos_at_fermi_per_ev_atom": 3.483,
  "crystal_system": "tetragonal",
  "raw_formation_energy_mev_per_atom": -744
}